[1]
Material: TcAg2C
Method: DFT, GGA-PBE
State: optimized geometry

abc: 4.7963 4.7963 7.4682
angles: 71.27 71.27 90.00
Last column: nearest neighbours and their distance in Å.
Fractional positions:
Tc  0.7500  0.2500  0.5000  4 Ag 2.75
Tc  0.0000  0.0000  0.0000  4 Ag 2.75
C  0.2500  0.7500  0.5000  4 Ag 2.13
C  0.5000  0.5000  0.0000  4 Ag 2.13
Ag  0.8750  0.7435  0.7500  2 C 2.13
Ag  0.2565  0.6250  0.2500  2 C 2.13
Ag  0.4935  0.1250  0.2500  2 C 2.13
Ag  0.3750  0.5065  0.7500  2 C 2.13

Computed properties:
Fermi-level density of states = 0.787 states/eV per atom
calculated volume = 153 Å³ per cell
SG = No. 122
calculated total energy = -4.27 eV/atom



[2]
Material: Be2AlReRu
Method: DFT, GGA-PBE
State: optimized geometry

abc: 4.1004 4.7818 4.1004
angles: 90.00 90.00 90.00
Last column: nearest neighbours and their distance in Å.
Fractional positions:
Ru  0.0000  0.0000  0.0000  4 Be 2.05
Re  0.0000  0.5000  0.0000  2 Ru 2.39
Al  0.5000  0.5000  0.5000  4 Re 2.90, 8 Be 3.15
Be  0.0000  0.0000  0.5000  2 Ru 2.05
Be  0.5000  0.0000  0.0000  2 Ru 2.05

Computed properties:
Fermi-level density of states = 0.594 states/eV per atom
calculated volume = 80 Å³ per cell
SG = No. 123
calculated total energy = -5.67 eV/atom



[3]
Material: Rb3NdY2O6
Method: DFT, GGA-PBE
State: optimized geometry

abc: 6.1847 6.1847 6.8969
angles: 98.59 98.59 120.01
Last column: nearest neighbours and their distance in Å.
Fractional positions:
O  0.7164  0.7164  0.1775  2 Y 2.35, 1 Nd 2.42
O  0.0592  0.4020  0.1776  2 Y 2.34, 1 Nd 2.42
O  0.4020  0.0592  0.1776  2 Y 2.34, 1 Nd 2.42
O  0.5980  0.9408  0.8224  2 Y 2.34, 1 Nd 2.42
O  0.9408  0.5980  0.8224  2 Y 2.34, 1 Nd 2.42
O  0.2836  0.2836  0.8225  2 Y 2.35, 1 Nd 2.42
Nd  0.0000  0.0000  0.0000  6 O 2.42
Y  0.3333  0.6667  0.0000  6 O 2.34-2.35
Y  0.6667  0.3333  0.0000  6 O 2.34-2.35
Rb  0.8326  0.1674  0.5000  6 O 2.91-2.98
Rb  0.5000  0.5000  0.5000  6 O 2.92-2.98
Rb  0.1674  0.8326  0.5000  6 O 2.91-2.98

Computed properties:
raw formation energy = -2.632 eV/atom
Fermi-level density of states = 0.000 states/eV per atom
calculated volume = 218 Å³ per cell
SG = No. 12